# 1
{"formula": "SmTiO3", "functional": "SCAN", "state": "PBEsol geometry", "raw_formation_energy_ev_per_atom": -3.519, "dft_energy_ev_per_cell": -387.05, "volume_a3_per_atom": 11.69, "cell": [[-4.7923, 2.1541, -1.0763], [0.9055, -0.7573, -5.5475], [-3.2259, -6.9648, 0.4242]], "species": ["Sm", "Sm", "Sm", "Sm", "Ti", "Ti", "Ti", "Ti", "O", "O", "O", "O", "O", "O", "O", "O", "O", "O", "O", "O"], "frac_coords": [[0.0178, 0.9333, 0.7500], [0.5178, 0.5667, 0.2500], [0.4822, 0.4333, 0.7500], [0.9822, 0.0667, 0.2500], [0.0000, 0.5000, 0.5000], [0.5000, 0.0000, 0.5000], [0.5000, 0.0000, 0.0000], [0.0000, 0.5000, 0.0000], [0.6960, 0.2978, 0.4493], [0.1960, 0.2022, 0.5507], [0.8040, 0.7978, 0.0507], [0.3040, 0.7022, 0.9493], [0.3040, 0.7022, 0.5507], [0.8040, 0.7978, 0.4493], [0.1960, 0.2022, 0.9493], [0.6960, 0.2978, 0.0507], [0.1019, 0.4677, 0.2500], [0.6019, 0.0323, 0.7500], [0.3981, 0.9677, 0.2500], [0.8981, 0.5323, 0.7500]]}

# 2
{"formula": "CuTcTe2", "functional": "SCAN", "state": "PBEsol geometry", "raw_formation_energy_ev_per_atom": 0.989, "dft_energy_ev_per_cell": -120.80, "volume_a3_per_atom": 18.65, "cell": [[4.7254, 0.0000, 0.0000], [2.3627, 4.0923, 0.0000], [2.3627, 1.3641, 3.8582]], "species": ["Cu", "Tc", "Te", "Te"], "frac_coords": [[0.5000, 0.5000, 0.5000], [0.2500, 0.2500, 0.2500], [0.0000, 0.0000, 0.0000], [0.7500, 0.7500, 0.7500]]}

# 3
{"formula": "Zr2NiP", "functional": "SCAN", "state": "PBEsol geometry", "dft_energy_ev_per_cell": -184.83, "volume_a3_per_atom": 16.28, "formation_energy_mev_per_atom": -1111, "cell": [[3.6086, 0.0000, 0.0000], [0.0000, 5.2129, -0.0077], [0.0000, -2.5791, 6.9265]], "species": ["Zr", "Zr", "Zr", "Zr", "Ni", "Ni", "P", "P"], "frac_coords": [[0.7500, 0.2841, 0.0761], [0.2500, 0.7159, 0.9239], [0.7500, 0.7785, 0.5689], [0.2500, 0.2215, 0.4311], [0.7500, 0.3506, 0.7105], [0.2500, 0.6494, 0.2895], [0.7500, 0.8584, 0.2111], [0.2500, 0.1416, 0.7889]]}